A geometry-optimized RhPbCl4 structure, computed with GGA-PBE.

Cell lengths 5.8831, 5.8831, 5.8831 Å; angles 60.00, 60.00, 60.00 degrees
With the nearest neighbours (Å) after each atom.
Fractional positions:
Rh 0.0000 0.0000 0.0000  12 Cl 3.45, 4 Pb 3.60
Pb 0.2500 0.2500 0.2500  12 Cl 3.45, 4 Rh 3.60
Cl 0.1234 0.6255 0.6255  6 Cl 2.93-2.95
Cl 0.6255 0.1234 0.6255  6 Cl 2.93-2.95
Cl 0.6255 0.6255 0.1234  6 Cl 2.93-2.95
Cl 0.6255 0.6255 0.6255  6 Cl 2.93-2.95

Computed properties:
The crystal system is cubic. The space group is F-43m. The calculated volume is 143.98 Å³ per cell. As for the raw formation energy: 0.589 eV per atom. The total energy comes out at -2.485 eV/atom.

***

A geometry-optimized RhPbCl2 structure, computed with GGA-PBE.

Cell lengths 4.8107, 4.8107, 16.8809 Å; angles 90.00, 90.00, 90.00 degrees
With the nearest neighbours (Å) after each atom.
Fractional positions:
Rh 0.0000 0.0000 0.0000  4 Cl 2.60
Rh 0.0000 0.5000 0.2500  4 Cl 2.60
Rh 0.5000 0.0000 0.7500  4 Cl 2.60
Rh 0.5000 0.5000 0.5000  4 Cl 2.60
Pb 0.0000 0.0000 0.5000  4 Cl 2.84
Pb 0.0000 0.5000 0.7500  4 Cl 2.84
Pb 0.5000 0.0000 0.2500  4 Cl 2.84
Pb 0.5000 0.5000 0.0000  4 Cl 2.84
Cl 0.1922 0.2500 0.1250  2 Rh 2.60, 2 Pb 2.84
Cl 0.2500 0.6922 0.3750  2 Rh 2.60, 2 Pb 2.84
Cl 0.2500 0.8078 0.8750  2 Rh 2.60, 2 Pb 2.84
Cl 0.3078 0.2500 0.6250  2 Rh 2.60, 2 Pb 2.84
Cl 0.6922 0.7500 0.6250  2 Rh 2.60, 2 Pb 2.84
Cl 0.7500 0.1922 0.8750  2 Rh 2.60, 2 Pb 2.84
Cl 0.7500 0.3078 0.3750  2 Rh 2.60, 2 Pb 2.84
Cl 0.8078 0.7500 0.1250  2 Rh 2.60, 2 Pb 2.84

Computed properties:
The calculation puts the offset from the most stable computed form at 322.2 meV per atom. The crystal system is tetragonal. The space group is I-42d. The calculated volume is 390.66 Å³ per cell. As for the raw formation energy: -0.073 eV per atom. The total energy comes out at -3.761 eV/atom.

***

A geometry-optimized RhPbCl3 structure, computed with GGA-PBE.

Cell lengths 4.8642, 4.8642, 4.8642 Å; angles 90.00, 90.00, 90.00 degrees
With the nearest neighbours (Å) after each atom.
Fractional positions:
Rh 0.0000 0.0000 0.0000  6 Cl 2.43
Pb 0.5000 0.5000 0.5000  12 Cl 3.44
Cl 0.0000 0.0000 0.5000  2 Rh 2.43
Cl 0.0000 0.5000 0.0000  2 Rh 2.43
Cl 0.5000 0.0000 0.0000  2 Rh 2.43

Computed properties:
The crystal system is cubic. The space group is Pm-3m. The calculated volume is 115.09 Å³ per cell. As for the raw formation energy: -0.405 eV per atom. The total energy comes out at -3.725 eV/atom.

***

A geometry-optimized RhPbCl2 structure, computed with GGA-PBE.

Cell lengths 3.8332, 3.8332, 7.0567 Å; angles 90.00, 90.00, 90.00 degrees
With the nearest neighbours (Å) after each atom.
Fractional positions:
Rh 0.0000 0.0000 0.0000  1 Cl 2.47
Pb 0.5000 0.5000 0.8668  1 Cl 2.66, 4 Rh 2.87
Cl 0.0000 0.0000 0.6497  1 Rh 2.47
Cl 0.5000 0.5000 0.2440  1 Pb 2.66

Computed properties:
The calculation puts the offset from the most stable computed form at 263.0 meV per atom. The crystal system is tetragonal. The space group is P4mm. The calculated volume is 103.69 Å³ per cell. As for the raw formation energy: -0.132 eV per atom. The total energy comes out at -3.821 eV/atom.

***

A geometry-optimized Rh2PbCl structure, computed with GGA-PBE.

Cell lengths 9.7571, 3.1123, 5.3197 Å; angles 90.00, 116.19, 90.00 degrees
With the nearest neighbours (Å) after each atom.
Fractional positions:
Rh 0.2444 0.0000 0.2514  2 Cl 2.66, 2 Pb 2.73
Rh 0.2556 0.5000 0.7486  2 Cl 2.66, 2 Pb 2.73
Rh 0.7444 0.5000 0.2514  2 Cl 2.66, 2 Pb 2.73
Rh 0.7556 0.0000 0.7486  2 Cl 2.66, 2 Pb 2.73
Pb 0.0000 0.0000 0.5000  4 Rh 2.73
Pb 0.5000 0.5000 0.5000  4 Rh 2.73
Cl 0.0000 0.5000 0.0000  4 Rh 2.66
Cl 0.5000 0.0000 0.0000  4 Rh 2.66

Computed properties:
The calculation puts the offset from the most stable computed form at 99.3 meV per atom. The crystal system is monoclinic. The space group is C2/m. The calculated volume is 144.96 Å³ per cell. As for the raw formation energy: 0.234 eV per atom. The total energy comes out at -4.830 eV/atom.

***

A geometry-optimized Rh2PbCl structure, computed with GGA-PBE.

Cell lengths 3.8210, 3.8210, 9.9774 Å; angles 90.00, 90.00, 90.00 degrees
With the nearest neighbours (Å) after each atom.
Fractional positions:
Rh 0.0000 0.0000 0.0000  4 Pb 2.70
Rh 0.0000 0.5000 0.2500  4 Cl 2.70
Rh 0.5000 0.0000 0.7500  4 Cl 2.70
Rh 0.5000 0.5000 0.5000  4 Pb 2.70
Pb 0.0000 0.0000 0.5000  4 Rh 2.70
Pb 0.5000 0.5000 0.0000  4 Rh 2.70
Cl 0.0000 0.5000 0.7500  4 Rh 2.70
Cl 0.5000 0.0000 0.2500  4 Rh 2.70

Computed properties:
The calculation puts the offset from the most stable computed form at 237.2 meV per atom. The crystal system is tetragonal. The space group is I-4m2. The calculated volume is 145.67 Å³ per cell. As for the raw formation energy: 0.372 eV per atom. The total energy comes out at -4.692 eV/atom.

***

A geometry-optimized RhPbCl2 structure, computed with GGA-PBE.

Cell lengths 3.3789, 3.3789, 28.0145 Å; angles 90.00, 90.00, 120.00 degrees
With the nearest neighbours (Å) after each atom.
Fractional positions:
Rh 0.0000 0.0000 0.0000  2 Cl 2.28
Rh 0.3333 0.6667 0.6667  2 Cl 2.28
Rh 0.6667 0.3333 0.3333  2 Cl 2.28
Pb 0.0000 0.0000 0.5000  6 Cl 3.09, 6 Pb 3.38
Pb 0.3333 0.6667 0.1667  6 Cl 3.09, 6 Pb 3.38
Pb 0.6667 0.3333 0.8333  6 Cl 3.09, 6 Pb 3.38
Cl 0.0000 0.0000 0.0813  1 Rh 2.28
Cl 0.0000 0.0000 0.9187  1 Rh 2.28
Cl 0.3333 0.6667 0.5853  1 Rh 2.28
Cl 0.3333 0.6667 0.7480  1 Rh 2.28
Cl 0.6667 0.3333 0.2520  1 Rh 2.28
Cl 0.6667 0.3333 0.4147  1 Rh 2.28

Computed properties:
The calculation puts the offset from the most stable computed form at 323.0 meV per atom. The crystal system is trigonal. The space group is R-3m. The calculated volume is 277.00 Å³ per cell. As for the raw formation energy: -0.072 eV per atom. The total energy comes out at -3.761 eV/atom.

***

A geometry-optimized RhPbCl2 structure, computed with GGA-PBE.

Cell lengths 5.5861, 3.4611, 5.5966 Å; angles 90.00, 116.63, 90.00 degrees
With the nearest neighbours (Å) after each atom.
Fractional positions:
Rh 0.0000 0.0000 0.0000  4 Cl 2.37
Pb 0.5000 0.0000 0.5000  2 Rh 2.94
Cl 0.1698 0.5000 0.8299  2 Rh 2.37
Cl 0.8302 0.5000 0.1701  2 Rh 2.37

Computed properties:
The calculation puts the offset from the most stable computed form at 68.9 meV per atom. The crystal system is monoclinic. The space group is P2/m. The calculated volume is 96.72 Å³ per cell. As for the raw formation energy: -0.326 eV per atom. The total energy comes out at -4.015 eV/atom.

***

A geometry-optimized RhPbCl2 structure, computed with GGA-PBE.

Cell lengths 4.1032, 4.1032, 10.4323 Å; angles 90.00, 90.00, 90.00 degrees
With the nearest neighbours (Å) after each atom.
Fractional positions:
Rh 0.0000 0.0000 0.0000  4 Cl 2.90
Rh 0.5000 0.5000 0.5000  4 Cl 2.90
Pb 0.0000 0.5000 0.2500  4 Cl 2.90
Pb 0.5000 0.0000 0.7500  4 Cl 2.90
Cl 0.0000 0.0000 0.5000  4 Rh 2.90
Cl 0.0000 0.5000 0.7500  4 Pb 2.90
Cl 0.5000 0.0000 0.2500  4 Pb 2.90
Cl 0.5000 0.5000 0.0000  4 Rh 2.90

Computed properties:
The calculation puts the offset from the most stable computed form at 408.5 meV per atom. The crystal system is tetragonal. The space group is I-4m2. The calculated volume is 175.64 Å³ per cell. As for the raw formation energy: 0.013 eV per atom. The total energy comes out at -3.675 eV/atom.

***

A geometry-optimized Rh2PbCl structure, computed with GGA-PBE.

Cell lengths 3.1766, 3.1766, 27.9210 Å; angles 90.00, 90.00, 120.00 degrees
With the nearest neighbours (Å) after each atom.
Fractional positions:
Rh 0.0000 0.0000 0.0000  3 Rh 2.66, 3 Pb 2.95
Rh 0.0000 0.0000 0.2644  3 Cl 2.45, 3 Rh 2.66
Rh 0.3333 0.6667 0.6667  3 Rh 2.66, 3 Pb 2.95
Rh 0.3333 0.6667 0.9311  3 Cl 2.45, 3 Rh 2.66
Rh 0.6667 0.3333 0.3333  3 Rh 2.66, 3 Pb 2.95
Rh 0.6667 0.3333 0.5977  3 Cl 2.45, 3 Rh 2.66
Pb 0.0000 0.0000 0.7492  3 Rh 2.95, 6 Pb 3.18
Pb 0.3333 0.6667 0.4159  3 Rh 2.95, 6 Pb 3.18
Pb 0.6667 0.3333 0.0826  3 Rh 2.95, 6 Pb 3.18
Cl 0.0000 0.0000 0.5395  3 Rh 2.45
Cl 0.3333 0.6667 0.2062  3 Rh 2.45
Cl 0.6667 0.3333 0.8728  3 Rh 2.45

Computed properties:
The calculation puts the offset from the most stable computed form at 73.1 meV per atom. The crystal system is trigonal. The space group is R3m. The calculated volume is 243.99 Å³ per cell. As for the raw formation energy: 0.208 eV per atom. The total energy comes out at -4.856 eV/atom.

***

A geometry-optimized Rh2PbCl structure, computed with GGA-PBE.

Cell lengths 6.5864, 6.5864, 6.5864 Å; angles 90.00, 90.00, 90.00 degrees
With the nearest neighbours (Å) after each atom.
Fractional positions:
Rh 0.2500 0.2500 0.2500  4 Cl 2.85, 4 Pb 2.85
Rh 0.2500 0.2500 0.7500  4 Cl 2.85, 4 Pb 2.85
Rh 0.2500 0.7500 0.2500  4 Cl 2.85, 4 Pb 2.85
Rh 0.2500 0.7500 0.7500  4 Cl 2.85, 4 Pb 2.85
Rh 0.7500 0.2500 0.2500  4 Cl 2.85, 4 Pb 2.85
Rh 0.7500 0.2500 0.7500  4 Cl 2.85, 4 Pb 2.85
Rh 0.7500 0.7500 0.2500  4 Cl 2.85, 4 Pb 2.85
Rh 0.7500 0.7500 0.7500  4 Cl 2.85, 4 Pb 2.85
Pb 0.0000 0.0000 0.0000  8 Rh 2.85
Pb 0.0000 0.5000 0.5000  8 Rh 2.85
Pb 0.5000 0.0000 0.5000  8 Rh 2.85
Pb 0.5000 0.5000 0.0000  8 Rh 2.85
Cl 0.0000 0.0000 0.5000  8 Rh 2.85
Cl 0.0000 0.5000 0.0000  8 Rh 2.85
Cl 0.5000 0.0000 0.0000  8 Rh 2.85
Cl 0.5000 0.5000 0.5000  8 Rh 2.85

Computed properties:
The calculation puts the offset from the most stable computed form at 221.7 meV per atom. The crystal system is cubic. The space group is Fm-3m. The calculated volume is 285.72 Å³ per cell. As for the raw formation energy: 0.357 eV per atom. The total energy comes out at -4.708 eV/atom.

***

A geometry-optimized Rh2PbCl structure, computed with GGA-PBE.

Cell lengths 3.6636, 3.7827, 6.5236 Å; angles 90.00, 98.84, 90.00 degrees
With the nearest neighbours (Å) after each atom.
Fractional positions:
Rh 0.0000 0.0000 0.0000  2 Cl 2.55, 4 Rh 2.57-2.79, 1 Pb 2.81
Rh 0.4366 0.5000 0.9250  1 Cl 2.36, 2 Rh 2.57
Pb 0.4889 0.0000 0.6323  3 Rh 2.72-2.81
Cl 0.8574 0.5000 0.2384  3 Rh 2.36-2.55

Computed properties:
The calculation puts the offset from the most stable computed form at 0.0 meV per atom. The crystal system is monoclinic. The space group is Pm. The calculated volume is 89.33 Å³ per cell. As for the raw formation energy: 0.135 eV per atom. The total energy comes out at -4.929 eV/atom.

***

A geometry-optimized RhPbCl2 structure, computed with GGA-PBE.

Cell lengths 6.9920, 6.9920, 6.9920 Å; angles 90.00, 90.00, 90.00 degrees
With the nearest neighbours (Å) after each atom.
Fractional positions:
Rh 0.0000 0.0000 0.0000  8 Cl 3.03
Rh 0.0000 0.5000 0.5000  8 Cl 3.03
Rh 0.5000 0.0000 0.5000  8 Cl 3.03
Rh 0.5000 0.5000 0.0000  8 Cl 3.03
Pb 0.0000 0.0000 0.5000  8 Cl 3.03
Pb 0.0000 0.5000 0.0000  8 Cl 3.03
Pb 0.5000 0.0000 0.0000  8 Cl 3.03
Pb 0.5000 0.5000 0.5000  8 Cl 3.03
Cl 0.2500 0.2500 0.2500  4 Pb 3.03, 4 Rh 3.03
Cl 0.2500 0.2500 0.7500  4 Pb 3.03, 4 Rh 3.03
Cl 0.2500 0.7500 0.2500  4 Pb 3.03, 4 Rh 3.03
Cl 0.2500 0.7500 0.7500  4 Pb 3.03, 4 Rh 3.03
Cl 0.7500 0.2500 0.2500  4 Pb 3.03, 4 Rh 3.03
Cl 0.7500 0.2500 0.7500  4 Pb 3.03, 4 Rh 3.03
Cl 0.7500 0.7500 0.2500  4 Pb 3.03, 4 Rh 3.03
Cl 0.7500 0.7500 0.7500  4 Pb 3.03, 4 Rh 3.03

Computed properties:
The calculation puts the offset from the most stable computed form at 439.5 meV per atom. The crystal system is cubic. The space group is Fm-3m. The calculated volume is 341.83 Å³ per cell. As for the raw formation energy: 0.044 eV per atom. The total energy comes out at -3.644 eV/atom.

***

A geometry-optimized Rh2PbCl structure, computed with GGA-PBE.

Cell lengths 3.3085, 3.3085, 6.7097 Å; angles 90.00, 90.00, 90.00 degrees
With the nearest neighbours (Å) after each atom.
Fractional positions:
Rh 0.0000 0.0000 0.2263  4 Pb 2.79, 4 Cl 2.97, 1 Rh 3.04
Rh 0.0000 0.0000 0.7737  4 Pb 2.79, 4 Cl 2.97, 1 Rh 3.04
Pb 0.5000 0.5000 0.0000  8 Rh 2.79
Cl 0.5000 0.5000 0.5000  8 Rh 2.97, 4 Cl 3.31

Computed properties:
The calculation puts the offset from the most stable computed form at 138.1 meV per atom. The crystal system is tetragonal. The space group is P4/mmm. The calculated volume is 73.45 Å³ per cell. As for the raw formation energy: 0.273 eV per atom. The total energy comes out at -4.791 eV/atom.

***

A geometry-optimized RhPbCl2 structure, computed with GGA-PBE.

Cell lengths 11.9001, 3.5154, 5.4621 Å; angles 90.00, 92.82, 90.00 degrees
With the nearest neighbours (Å) after each atom.
Fractional positions:
Rh 0.0000 0.0000 0.0000  3 Cl 2.35-2.48
Rh 0.5000 0.5000 0.0000  3 Cl 2.35-2.48
Pb 0.3483 0.0000 0.7631  2 Rh 2.79, 2 Cl 3.09
Pb 0.8483 0.5000 0.7631  2 Rh 2.79, 2 Cl 3.09
Cl 0.1128 0.5000 0.8068  2 Rh 2.48
Cl 0.3658 0.5000 0.3016  1 Rh 2.35
Cl 0.6128 0.0000 0.8068  2 Rh 2.48
Cl 0.8658 0.0000 0.3016  1 Rh 2.35

Computed properties:
The calculation puts the offset from the most stable computed form at 80.8 meV per atom. The crystal system is monoclinic. The space group is Cm. The calculated volume is 228.22 Å³ per cell. As for the raw formation energy: -0.315 eV per atom. The total energy comes out at -4.003 eV/atom.